# LaAsH2Ir | Alexandria | PBE | optimized geometry
# * calculated total energy: -113.133 eV for the cell shown
# * relative energy among the computed polymorphs: 39 meV per atom
data_LaAsH2Ir
_chemical_formula_sum 'La4 As4 H8 Ir4'
_cell_length_a 4.003
_cell_length_b 10.427
_cell_length_c 6.836
_cell_angle_alpha 90.00
_cell_angle_beta 90.00
_cell_angle_gamma 90.00
_space_group_name_H-M_alt 'C m c m'
_space_group_IT_number 63
_space_group_name_Hall '-C 2c 2'
loop_
_atom_site_label
_atom_site_type_symbol
_atom_site_fract_x
_atom_site_fract_y
_atom_site_fract_z
La1 La 0.000 0.216 0.250
As1 As 0.000 0.062 0.750
H1 H 0.000 0.341 0.557
Ir1 Ir 0.000 0.500 0.000

=====

# Li2AsHIr | Alexandria | PBE | optimized geometry
# * calculated total energy: -22.374 eV for the cell shown
data_Li2AsHIr
_chemical_formula_sum 'Li2 As1 H1 Ir1'
_cell_length_a 3.819
_cell_length_b 3.819
_cell_length_c 3.822
_cell_angle_alpha 90.00
_cell_angle_beta 90.00
_cell_angle_gamma 90.00
_space_group_name_H-M_alt 'P 4/m m m'
_space_group_IT_number 123
_space_group_name_Hall '-P 4 2'
loop_
_atom_site_label
_atom_site_type_symbol
_atom_site_fract_x
_atom_site_fract_y
_atom_site_fract_z
Li1 Li 0.000 0.500 0.000
As1 As 0.000 0.000 0.500
H1 H 0.500 0.500 0.000
Ir1 Ir 0.500 0.500 0.500

=====

# As2HIrOs | Alexandria | PBE | optimized geometry
# * calculated total energy: -25.242 eV for the cell shown
data_As2HIrOs
_chemical_formula_sum 'As2 H1 Ir1 Os1'
_cell_length_a 4.714
_cell_length_b 4.714
_cell_length_c 4.903
_cell_angle_alpha 90.00
_cell_angle_beta 90.00
_cell_angle_gamma 90.00
_space_group_name_H-M_alt 'P 4/m m m'
_space_group_IT_number 123
_space_group_name_Hall '-P 4 2'
loop_
_atom_site_label
_atom_site_type_symbol
_atom_site_fract_x
_atom_site_fract_y
_atom_site_fract_z
As1 As 0.000 0.500 0.000
H1 H 0.000 0.000 0.500
Ir1 Ir 0.500 0.500 0.500
Os1 Os 0.500 0.500 0.000